No. 1
{
  "formula": "Y11Al9Ag4",
  "functional": "PBE",
  "state": "relaxed",
  "sg": "No. 65",
  "energy_ha_per_atom": -0.1915,
  "ef_mev_per_atom": -370,
  "lattice": [[7.153, -10.753, 0.000], [7.153, 10.753, 0.000], [0.000, 0.000, 3.656]],
  "species": ["Y", "Y", "Y", "Y", "Y", "Y", "Y", "Y", "Y", "Y", "Y", "Al", "Al", "Al", "Al", "Al", "Al", "Al", "Al", "Al", "Ag", "Ag", "Ag", "Ag"],
  "fractional_positions": [[0.000, 0.000, 0.000], [0.058, 0.409, 0.000], [0.162, 0.838, 0.000], [0.292, 0.292, 0.000], [0.362, 0.638, 0.000], [0.409, 0.058, 0.000], [0.591, 0.942, 0.000], [0.638, 0.362, 0.000], [0.708, 0.708, 0.000], [0.838, 0.162, 0.000], [0.942, 0.591, 0.000], [0.070, 0.213, 0.500], [0.160, 0.634, 0.500], [0.213, 0.070, 0.500], [0.366, 0.840, 0.500], [0.500, 0.500, 0.500], [0.634, 0.160, 0.500], [0.787, 0.930, 0.500], [0.840, 0.366, 0.500], [0.930, 0.787, 0.500], [0.247, 0.448, 0.500], [0.448, 0.247, 0.500], [0.552, 0.753, 0.500], [0.753, 0.552, 0.500]]
}

No. 2
{
  "formula": "Y2AlAg2",
  "functional": "PBE",
  "state": "relaxed",
  "sg": "No. 139",
  "energy_ha_per_atom": -0.1657,
  "ef_mev_per_atom": -33,
  "lattice": [[-2.875, 2.875, 3.858], [2.875, -2.875, 3.858], [2.875, 2.875, -3.858]],
  "species": ["Y", "Y", "Al", "Ag", "Ag"],
  "fractional_positions": [[0.250, 0.750, 0.500], [0.750, 0.250, 0.500], [0.000, 0.000, 0.000], [0.335, 0.335, 0.000], [0.665, 0.665, 0.000]]
}

No. 3
{
  "formula": "Y6Al3Ag",
  "functional": "PBE",
  "state": "relaxed",
  "sg": "No. 11",
  "energy_ha_per_atom": -0.2049,
  "ef_mev_per_atom": -288,
  "lattice": [[9.137, 0.000, 0.000], [0.000, 5.165, 0.000], [-3.798, 0.000, 10.801]],
  "species": ["Y", "Y", "Y", "Y", "Y", "Y", "Y", "Y", "Y", "Y", "Y", "Y", "Al", "Al", "Al", "Al", "Al", "Al", "Ag", "Ag"],
  "fractional_positions": [[0.038, 0.250, 0.414], [0.159, 0.750, 0.171], [0.247, 0.250, 0.999], [0.334, 0.750, 0.805], [0.369, 0.250, 0.345], [0.391, 0.250, 0.630], [0.609, 0.750, 0.370], [0.631, 0.750, 0.655], [0.666, 0.250, 0.195], [0.753, 0.750, 0.001], [0.841, 0.250, 0.829], [0.962, 0.750, 0.586], [0.028, 0.750, 0.876], [0.111, 0.250, 0.715], [0.271, 0.750, 0.471], [0.729, 0.250, 0.529], [0.889, 0.750, 0.285], [0.972, 0.250, 0.124], [0.454, 0.750, 0.096], [0.546, 0.250, 0.904]]
}

No. 4
{
  "formula": "YAlAg3",
  "functional": "PBE",
  "state": "relaxed",
  "polymorph_energy_ev_per_atom": 0.3169,
  "sg": "No. 221",
  "energy_ha_per_atom": -0.1351,
  "ef_mev_per_atom": 75,
  "lattice": [[4.844, 0.000, 0.000], [0.000, 4.844, 0.000], [0.000, 0.000, 4.844]],
  "species": ["Y", "Al", "Ag", "Ag", "Ag"],
  "fractional_positions": [[0.000, 0.000, 0.000], [0.500, 0.500, 0.500], [0.000, 0.500, 0.500], [0.500, 0.000, 0.500], [0.500, 0.500, 0.000]]
}